(1)
Computed, not measured: an optimized crystal structure of PrLuBeAg at the PBE-GGA level of DFT.

N(E_F) in states/eV/cell: 2.4
E in eV for the cell shown: -15.9
Total magnetic moment in μB per cell: 0.00

abc: 5.0763 5.0763 5.0763
angles: 60.00 60.00 60.00
Closest atoms and distances in Å follow each position.
Element x y z (fractional)
Pr 0.5000 0.5000 0.5000  4 Ag 3.11, 4 Be 3.11
Be 0.7500 0.7500 0.7500  4 Pr 3.11, 4 Lu 3.11
Lu 0.0000 0.0000 0.0000  4 Be 3.11, 4 Ag 3.11
Ag 0.2500 0.2500 0.2500  4 Pr 3.11, 4 Lu 3.11


(2)
Computed, not measured: an optimized crystal structure of TbLuBeAg at the PBE-GGA level of DFT.

N(E_F) in states/eV/cell: 4.4
E in eV for the cell shown: -16.0
Total magnetic moment in μB per cell: 0.00

abc: 4.9700 4.9700 4.9700
angles: 60.00 60.00 60.00
Closest atoms and distances in Å follow each position.
Element x y z (fractional)
Be 0.7500 0.7500 0.7500  4 Tb 3.04, 4 Lu 3.04
Lu 0.5000 0.5000 0.5000  4 Be 3.04, 4 Ag 3.04
Tb 0.0000 0.0000 0.0000  4 Ag 3.04, 4 Be 3.04
Ag 0.2500 0.2500 0.2500  4 Lu 3.04, 4 Tb 3.04


(3)
Computed, not measured: an optimized crystal structure of Mg2BeAg at the PBE-GGA level of DFT.

N(E_F) in states/eV/cell: 0.9
E in eV for the cell shown: -9.5
Total magnetic moment in μB per cell: 0.00

abc: 5.4993 5.4993 4.6642
angles: 64.98 64.98 32.10
Closest atoms and distances in Å follow each position.
Element x y z (fractional)
Be 0.2320 0.2320 0.2676  2 Ag 2.41
Mg 0.9709 0.9709 0.0294  2 Be 2.73, 4 Ag 2.85, 4 Mg 3.04-3.06
Mg 0.7627 0.7627 0.7370  4 Be 2.80, 2 Ag 2.99, 4 Mg 3.04-3.06
Ag 0.5344 0.5344 0.4661  2 Be 2.41


(4)
Computed, not measured: an optimized crystal structure of Mg2BeAg at the PBE-GGA level of DFT.

N(E_F) in states/eV/cell: 1.1
E in eV for the cell shown: -9.2
Total magnetic moment in μB per cell: 0.00

abc: 4.8382 4.8382 4.8382
angles: 129.47 129.47 74.25
Closest atoms and distances in Å follow each position.
Element x y z (fractional)
Be 0.7500 0.2500 0.5000  8 Mg 2.83-2.92, 4 Ag 2.83
Mg 0.0000 0.0000 0.0000  4 Be 2.83, 4 Mg 2.83, 4 Ag 2.92
Mg 0.2500 0.7500 0.5000  4 Mg 2.83, 4 Ag 2.83, 4 Be 2.92
Ag 0.5000 0.5000 0.0000  8 Mg 2.83-2.92, 4 Be 2.83


(5)
Computed, not measured: an optimized crystal structure of Mg2Be2Ag at the PBE-GGA level of DFT.

N(E_F) in states/eV/cell: 3.6
E in eV for the cell shown: -25.3
Total magnetic moment in μB per cell: 0.00

abc: 6.3509 6.3509 3.8148
angles: 90.00 90.00 90.00
Closest atoms and distances in Å follow each position.
Element x y z (fractional)
Be 0.3794 0.8794 0.0000  1 Be 2.17
Be 0.8794 0.6206 0.0000  1 Be 2.17
Be 0.6206 0.1206 0.0000  1 Be 2.17
Be 0.1206 0.3794 0.0000  1 Be 2.17
Mg 0.1717 0.6717 0.5000  6 Be 2.67-2.68
Mg 0.6717 0.8283 0.5000  6 Be 2.67-2.68
Mg 0.8283 0.3283 0.5000  6 Be 2.67-2.68
Mg 0.3283 0.1717 0.5000  6 Be 2.67-2.68
Ag 0.0000 0.0000 0.0000  4 Be 2.53
Ag 0.5000 0.5000 0.0000  4 Be 2.53


(6)
Computed, not measured: an optimized crystal structure of Mg2BeAg at the PBE-GGA level of DFT.

N(E_F) in states/eV/cell: 0.9
E in eV for the cell shown: -9.5
Total magnetic moment in μB per cell: 0.00

abc: 3.0280 3.0725 7.7866
angles: 66.54 90.00 90.00
Closest atoms and distances in Å follow each position.
Element x y z (fractional)
Be 0.5000 0.7500 0.7500  8 Mg 2.69-2.70
Mg 0.0000 0.0232 0.9758  4 Be 2.69-2.70, 4 Ag 2.91-2.92
Mg 0.0000 0.4768 0.5242  4 Be 2.69-2.70, 4 Ag 2.91-2.92
Ag 0.5000 0.2500 0.2500  8 Mg 2.91-2.92, 4 Ag 3.03-3.07


(7)
Computed, not measured: an optimized crystal structure of MgBeAg4 at the PBE-GGA level of DFT.

N(E_F) in states/eV/cell: 3.9
E in eV for the cell shown: -14.8
Total magnetic moment in μB per cell: 0.00

abc: 5.4398 5.4398 5.4398
angles: 60.00 60.00 60.00
Closest atoms and distances in Å follow each position.
Element x y z (fractional)
Mg 0.0000 0.0000 0.0000  12 Ag 3.19, 4 Be 3.33
Be 0.7500 0.7500 0.7500  12 Ag 3.19, 4 Mg 3.33
Ag 0.8746 0.3751 0.3751  6 Ag 2.72
Ag 0.3751 0.3751 0.8746  6 Ag 2.72
Ag 0.3751 0.8746 0.3751  6 Ag 2.72
Ag 0.3751 0.3751 0.3751  6 Ag 2.72


(8)
Computed, not measured: an optimized crystal structure of Mg2BeAg at the PBE-GGA level of DFT.

N(E_F) in states/eV/cell: 3.1
E in eV for the cell shown: -16.2
Total magnetic moment in μB per cell: 0.00

abc: 7.3342 7.3342 5.8700
angles: 51.34 51.34 90.00
Closest atoms and distances in Å follow each position.
Element x y z (fractional)
Be 0.5000 0.5000 0.0000  4 Mg 2.56, 2 Ag 2.75
Be 0.2500 0.7500 0.5000  4 Mg 2.56, 2 Ag 2.75
Mg 0.6000 0.1250 0.2500  2 Be 2.56, 2 Mg 2.77, 2 Ag 2.81
Mg 0.1500 0.6250 0.2500  2 Be 2.56, 2 Mg 2.77, 2 Ag 2.81
Mg 0.3750 0.4000 0.7500  2 Be 2.56, 2 Mg 2.77, 2 Ag 2.81
Mg 0.8750 0.8500 0.7500  2 Be 2.56, 2 Mg 2.77, 2 Ag 2.81
Ag 0.0000 0.0000 0.0000  2 Be 2.75, 4 Mg 2.81
Ag 0.7500 0.2500 0.5000  2 Be 2.75, 4 Mg 2.81


(9)
Computed, not measured: an optimized crystal structure of Mg2BeAg at the PBE-GGA level of DFT.

N(E_F) in states/eV/cell: 1.0
E in eV for the cell shown: -9.5
Total magnetic moment in μB per cell: 0.00

abc: 3.0929 3.0929 7.1388
angles: 90.00 90.00 90.00
Closest atoms and distances in Å follow each position.
Element x y z (fractional)
Be 0.5000 0.5000 0.7146  4 Ag 2.49, 4 Mg 2.78
Mg 0.0000 0.0000 0.9545  4 Be 2.78, 1 Ag 2.89, 4 Mg 3.09
Mg 0.5000 0.5000 0.2817  4 Ag 2.90, 1 Be 3.09, 8 Mg 3.09-3.20
Ag 0.0000 0.0000 0.5492  4 Be 2.49


(10)
Computed, not measured: an optimized crystal structure of Mg2BeAg at the PBE-GGA level of DFT.

N(E_F) in states/eV/cell: 2.2
E in eV for the cell shown: -8.8
Total magnetic moment in μB per cell: 0.00

abc: 9.0016 9.0016 9.0016
angles: 19.28 19.28 19.28
Closest atoms and distances in Å follow each position.
Element x y z (fractional)
Be 0.7500 0.7500 0.7500  6 Mg 2.67
Mg 0.0069 0.0069 0.0069  3 Be 2.67, 3 Ag 2.96
Mg 0.4931 0.4931 0.4931  3 Be 2.67, 3 Ag 2.96
Ag 0.2500 0.2500 0.2500  6 Mg 2.96, 6 Ag 3.01


(11)
Computed, not measured: an optimized crystal structure of Mg2BeAg at the PBE-GGA level of DFT.

N(E_F) in states/eV/cell: 1.0
E in eV for the cell shown: -9.5
Total magnetic moment in μB per cell: 0.00

abc: 4.2248 3.1049 5.4917
angles: 73.30 90.00 90.00
Closest atoms and distances in Å follow each position.
Element x y z (fractional)
Be 0.5000 0.5619 0.7516  2 Ag 2.48
Mg 0.0000 0.9615 0.9493  3 Ag 2.80-2.93, 4 Be 2.82, 2 Mg 3.10
Mg 0.5000 0.2910 0.2938  4 Ag 2.84-2.85, 3 Be 2.85-2.87, 4 Mg 3.10-3.18
Ag 0.0000 0.6855 0.5054  2 Be 2.48


(12)
Computed, not measured: an optimized crystal structure of Mg2BeAgMo at the PBE-GGA level of DFT.

N(E_F) in states/eV/cell: 4.1
E in eV for the cell shown: -14.5
Total magnetic moment in μB per cell: 1.53

abc: 5.1791 4.3001 5.1791
angles: 90.00 90.00 90.00
Closest atoms and distances in Å follow each position.
Element x y z (fractional)
Be 0.0000 0.5000 0.0000  2 Mo 2.15
Mo 0.0000 0.0000 0.0000  2 Be 2.15
Mg 0.0000 0.0000 0.5000  2 Mo 2.59
Mg 0.5000 0.0000 0.0000  2 Mo 2.59
Ag 0.5000 0.5000 0.5000  8 Mg 3.37, 4 Be 3.66


(13)
Computed, not measured: an optimized crystal structure of NdMgBeAg at the PBE-GGA level of DFT.

N(E_F) in states/eV/cell: 3.3
E in eV for the cell shown: -13.0
Total magnetic moment in μB per cell: 0.00

abc: 4.9031 4.9031 4.9031
angles: 60.00 60.00 60.00
Closest atoms and distances in Å follow each position.
Element x y z (fractional)
Be 0.7500 0.7500 0.7500  4 Mg 3.00, 4 Nd 3.00
Mg 0.5000 0.5000 0.5000  4 Ag 3.00, 4 Be 3.00
Nd 0.0000 0.0000 0.0000  4 Be 3.00, 4 Ag 3.00
Ag 0.2500 0.2500 0.2500  4 Mg 3.00, 4 Nd 3.00


(14)
Computed, not measured: an optimized crystal structure of Mg2Be2AgPd5 at the PBE-GGA level of DFT.

N(E_F) in states/eV/cell: 5.3
E in eV for the cell shown: -89.2
Total magnetic moment in μB per cell: 0.00

abc: 3.2270 9.6179 9.6179
angles: 90.00 90.00 90.00
Closest atoms and distances in Å follow each position.
Element x y z (fractional)
Mg 0.0000 0.6755 0.1755  3 Be 2.71-2.93, 6 Pd 2.88-2.94
Mg 0.0000 0.3245 0.8245  3 Be 2.71-2.93, 6 Pd 2.88-2.94
Mg 0.0000 0.1755 0.3245  3 Be 2.71-2.93, 6 Pd 2.88-2.94
Mg 0.0000 0.8245 0.6755  3 Be 2.71-2.93, 6 Pd 2.88-2.94
Be 0.0000 0.1249 0.6249  6 Pd 2.27-2.34
Be 0.0000 0.8751 0.3751  6 Pd 2.27-2.34
Be 0.0000 0.6249 0.8751  6 Pd 2.27-2.34
Be 0.0000 0.3751 0.1249  6 Pd 2.27-2.34
Ag 0.0000 0.0000 0.0000  8 Pd 2.73
Ag 0.0000 0.5000 0.5000  8 Pd 2.73
Pd 0.5000 0.2175 0.0718  2 Be 2.27
Pd 0.5000 0.7825 0.9282  2 Be 2.27
Pd 0.5000 0.0718 0.7825  2 Be 2.27
Pd 0.5000 0.7175 0.4282  2 Be 2.27
Pd 0.5000 0.9282 0.2175  2 Be 2.27
Pd 0.5000 0.2825 0.5718  2 Be 2.27
Pd 0.5000 0.5718 0.7175  2 Be 2.27
Pd 0.5000 0.4282 0.2825  2 Be 2.27
Pd 0.5000 0.5000 0.0000  4 Be 2.34
Pd 0.5000 0.0000 0.5000  4 Be 2.34


(15)
Computed, not measured: an optimized crystal structure of PmMgBeAg at the PBE-GGA level of DFT.

N(E_F) in states/eV/cell: 3.1
E in eV for the cell shown: -13.1
Total magnetic moment in μB per cell: 0.00

abc: 4.8783 4.8783 4.8783
angles: 60.00 60.00 60.00
Closest atoms and distances in Å follow each position.
Element x y z (fractional)
Be 0.2500 0.2500 0.2500  4 Mg 2.99, 4 Pm 2.99
Mg 0.5000 0.5000 0.5000  4 Ag 2.99, 4 Be 2.99
Ag 0.7500 0.7500 0.7500  4 Mg 2.99, 4 Pm 2.99
Pm 0.0000 0.0000 0.0000  4 Be 2.99, 4 Ag 2.99


(16)
Computed, not measured: an optimized crystal structure of MgBeAgPt2 at the PBE-GGA level of DFT.

N(E_F) in states/eV/cell: 1.2
E in eV for the cell shown: -21.8
Total magnetic moment in μB per cell: 0.00

abc: 4.2515 4.2515 4.4257
angles: 90.00 90.00 90.00
Closest atoms and distances in Å follow each position.
Element x y z (fractional)
Be 0.0000 0.0000 0.0000  4 Pt 2.13, 2 Ag 2.21
Mg 0.5000 0.5000 0.5000  4 Ag 3.01, 8 Pt 3.07
Ag 0.0000 0.0000 0.5000  2 Be 2.21
Pt 0.0000 0.5000 0.0000  2 Be 2.13
Pt 0.5000 0.0000 0.0000  2 Be 2.13


(17)
Computed, not measured: an optimized crystal structure of RbMgBeAg2 at the PBE-GGA level of DFT.

N(E_F) in states/eV/cell: 2.3
E in eV for the cell shown: -10.6
Total magnetic moment in μB per cell: 0.00

abc: 4.9261 4.9674 4.9261
angles: 90.00 90.00 90.00
Closest atoms and distances in Å follow each position.
Element x y z (fractional)
Be 0.0000 0.0000 0.0000  4 Ag 2.46, 2 Mg 2.48
Mg 0.0000 0.5000 0.0000  2 Be 2.48
Rb 0.5000 0.5000 0.5000  4 Mg 3.48, 8 Ag 3.50
Ag 0.0000 0.0000 0.5000  2 Be 2.46
Ag 0.5000 0.0000 0.0000  2 Be 2.46


(18)
Computed, not measured: an optimized crystal structure of MgScBeAg at the PBE-GGA level of DFT.

N(E_F) in states/eV/cell: 1.1
E in eV for the cell shown: -14.8
Total magnetic moment in μB per cell: 0.00

abc: 4.6149 4.6149 4.6149
angles: 60.00 60.00 60.00
Closest atoms and distances in Å follow each position.
Element x y z (fractional)
Sc 0.5000 0.5000 0.5000  4 Ag 2.83, 4 Be 2.83
Be 0.7500 0.7500 0.7500  4 Mg 2.83, 4 Sc 2.83
Mg 0.0000 0.0000 0.0000  4 Be 2.83, 4 Ag 2.83
Ag 0.2500 0.2500 0.2500  4 Mg 2.83, 4 Sc 2.83


(19)
Computed, not measured: an optimized crystal structure of MgBeSi2Ag at the PBE-GGA level of DFT.

N(E_F) in states/eV/cell: 2.6
Raw formation energy in kJ/mol of atoms: 125.2
Total magnetic moment in μB per cell: 0.00

abc: 4.8790 4.5372 4.8790
angles: 90.00 90.00 90.00
Closest atoms and distances in Å follow each position.
Element x y z (fractional)
Be 0.0000 0.5000 0.0000  2 Mg 2.27
Si 0.0000 0.0000 0.5000  2 Mg 2.44
Si 0.5000 0.0000 0.0000  2 Mg 2.44
Mg 0.0000 0.0000 0.0000  2 Be 2.27, 4 Si 2.44
Ag 0.5000 0.5000 0.5000  8 Si 3.33, 4 Be 3.45


(20)
Computed, not measured: an optimized crystal structure of SmMgBeAg at the PBE-GGA level of DFT.

N(E_F) in states/eV/cell: 2.8
E in eV for the cell shown: -13.0
Total magnetic moment in μB per cell: 0.00

abc: 4.8614 4.8614 4.8614
angles: 60.00 60.00 60.00
Closest atoms and distances in Å follow each position.
Element x y z (fractional)
Be 0.2500 0.2500 0.2500  4 Mg 2.98, 4 Sm 2.98
Mg 0.0000 0.0000 0.0000  4 Be 2.98, 4 Ag 2.98
Ag 0.7500 0.7500 0.7500  4 Mg 2.98, 4 Sm 2.98
Sm 0.5000 0.5000 0.5000  4 Ag 2.98, 4 Be 2.98